1.
KTi3B after structural relaxation. Source: Alexandria via LeMat-Bulk, functional PBE.

Properties
Symmetry: No. 221
Energy relative to the elements (eV per atom): 2.5702
Distance to the lowest polymorph of the same formula (eV per formula unit): 9.434
Total DFT energy (no corrections) (eV for the cell shown): -18.609

Unit cell a=4.365 b=4.365 c=4.365 alpha=90.00 beta=90.00 gamma=90.00
Sites, in units of the cell vectors:
1 K 0.000 0.000 0.000
2 Ti 0.000 0.000 0.500
3 Ti 0.000 0.500 0.000
4 Ti 0.500 0.000 0.000
5 B 0.500 0.500 0.500

2.
KTiB after structural relaxation. Source: Alexandria via LeMat-Bulk, functional PBE.

Properties
Symmetry: No. 216
Energy relative to the elements (eV per atom): 1.5092
Distance to the lowest polymorph of the same formula (eV per formula unit): 4.176
Total DFT energy (no corrections) (eV for the cell shown): -44.570

Unit cell a=6.249 b=6.249 c=6.249 alpha=90.00 beta=90.00 gamma=90.00
Sites, in units of the cell vectors:
1 K 0.000 0.000 0.000
2 K 0.000 0.500 0.500
3 K 0.500 0.000 0.500
4 K 0.500 0.500 0.000
5 Ti 0.000 0.000 0.500
6 Ti 0.000 0.500 0.000
7 Ti 0.500 0.000 0.000
8 Ti 0.500 0.500 0.500
9 B 0.250 0.250 0.250
10 B 0.250 0.750 0.750
11 B 0.750 0.250 0.750
12 B 0.750 0.750 0.250

3.
KZr2TiB after structural relaxation. Source: Alexandria via LeMat-Bulk, functional PBE.

Properties
Symmetry: No. 123
Energy relative to the elements (eV per atom): 1.9312
Total DFT energy (no corrections) (eV for the cell shown): -23.110

Unit cell a=4.966 b=4.966 c=5.354 alpha=90.00 beta=90.00 gamma=90.00
Sites, in units of the cell vectors:
1 K 0.000 0.000 0.000
2 Zr 0.000 0.500 0.500
3 Zr 0.500 0.000 0.500
4 Ti 0.000 0.000 0.500
5 B 0.500 0.500 0.000

4.
KTl3B after structural relaxation. Source: Alexandria via LeMat-Bulk, functional PBE.

Properties
Symmetry: No. 221
Energy relative to the elements (eV per atom): 0.5366
Distance to the lowest polymorph of the same formula (eV per formula unit): 0.000
Total DFT energy (no corrections) (eV for the cell shown): -12.191

Unit cell a=5.248 b=5.248 c=5.248 alpha=90.00 beta=90.00 gamma=90.00
Sites, in units of the cell vectors:
1 K 0.000 0.000 0.000
2 Tl 0.000 0.500 0.500
3 Tl 0.500 0.000 0.500
4 Tl 0.500 0.500 0.000
5 B 0.500 0.500 0.500

5.
KTlB3 after structural relaxation. Source: Alexandria via LeMat-Bulk, functional PBE.

Properties
Symmetry: No. 221
Energy relative to the elements (eV per atom): 2.1936
Distance to the lowest polymorph of the same formula (eV per formula unit): 0.000
Total DFT energy (no corrections) (eV for the cell shown): -12.528

Unit cell a=4.811 b=4.811 c=4.811 alpha=90.00 beta=90.00 gamma=90.00
Sites, in units of the cell vectors:
1 K 0.000 0.000 0.000
2 Tl 0.500 0.500 0.500
3 B 0.000 0.500 0.500
4 B 0.500 0.000 0.500
5 B 0.500 0.500 0.000

6.
K2Tl2B after structural relaxation. Source: Alexandria via LeMat-Bulk, functional PBE.

Properties
Symmetry: No. 127
Energy relative to the elements (eV per atom): 0.6049
Distance to the lowest polymorph of the same formula (eV per formula unit): 0.000
Total DFT energy (no corrections) (eV for the cell shown): -21.161

Unit cell a=7.106 b=7.106 c=6.048 alpha=90.00 beta=90.00 gamma=90.00
Sites, in units of the cell vectors:
1 K 0.178 0.322 0.000
2 K 0.322 0.822 0.000
3 K 0.678 0.178 0.000
4 K 0.822 0.678 0.000
5 Tl 0.162 0.662 0.500
6 Tl 0.338 0.162 0.500
7 Tl 0.662 0.838 0.500
8 Tl 0.838 0.338 0.500
9 B 0.000 0.000 0.500
10 B 0.500 0.500 0.500